Record 1
Material: GaB3F
Method: DFT, PBE
State: optimized geometry

Summary:
The uncorrected formation energy comes out at 1.787 eV/atom.

a b c (Å): 3.8529 3.8529 3.8529
angles (deg): 90.00 90.00 90.00
With the nearest neighbours (Å) after each atom.
Element x y z (fractional)
B 0.0000 0.5000 0.0000  2 F 1.93
B 0.0000 0.0000 0.5000  2 F 1.93
B 0.5000 0.0000 0.0000  2 F 1.93
Ga 0.5000 0.5000 0.5000  12 B 2.72
F 0.0000 0.0000 0.0000  6 B 1.93


Record 2
Material: CsIn6Ag
Method: DFT, PBE
State: optimized geometry

Summary:
The value obtained for the formation enthalpy at 0 K is -0.03 eV per atom.

a b c (Å): 5.1664 5.1664 11.5396
angles (deg): 77.06 77.06 60.00
With the nearest neighbours (Å) after each atom.
Element x y z (fractional)
Cs 0.5000 0.5000 0.5000  12 In 3.99-4.31
In 0.6410 0.6410 0.0770  3 Ag 3.10, 7 In 3.32-3.44
In 0.0872 0.0872 0.7384  1 Ag 2.92, 3 In 3.02
In 0.9128 0.9128 0.2616  1 Ag 2.92, 3 In 3.02
In 0.3590 0.3590 0.9230  3 Ag 3.10, 7 In 3.32-3.44
In 0.2597 0.2597 0.2209  4 In 3.02-3.32
In 0.7403 0.7403 0.7791  4 In 3.02-3.32
Ag 0.0000 0.0000 0.0000  8 In 2.92-3.10


Record 3
Material: La2ScGa3Pt4
Method: DFT, PBE
State: optimized geometry

Summary:
The value obtained for the formation enthalpy at 0 K is -1.03 eV per atom.

a b c (Å): 4.2509 4.2509 11.2881
angles (deg): 90.00 90.00 90.00
With the nearest neighbours (Å) after each atom.
Element x y z (fractional)
La 0.5000 0.0000 0.2387  6 Ga 3.26-3.64, 8 Pt 3.27-3.43, 2 Sc 3.64
La 0.0000 0.5000 0.7613  6 Ga 3.26-3.64, 8 Pt 3.27-3.43, 2 Sc 3.64
Sc 0.5000 0.5000 0.5000  4 Pt 2.70, 4 Ga 3.01
Ga 0.0000 0.0000 0.5000  4 Pt 2.70, 4 Sc 3.01
Ga 0.5000 0.0000 0.8738  5 Pt 2.55-2.56
Ga 0.0000 0.5000 0.1262  5 Pt 2.55-2.56
Pt 0.5000 0.5000 0.0000  4 Ga 2.56
Pt 0.0000 0.0000 0.0000  4 Ga 2.56
Pt 0.5000 0.0000 0.6481  3 Ga 2.55-2.70, 2 Sc 2.70
Pt 0.0000 0.5000 0.3519  3 Ga 2.55-2.70, 2 Sc 2.70


Record 4
Material: Hg2Pd5Pb
Method: DFT, PBE
State: optimized geometry

Summary:
The value obtained for the formation enthalpy at 0 K is -0.19 eV per atom.

a b c (Å): 4.2486 4.2486 8.4018
angles (deg): 104.65 104.65 90.00
With the nearest neighbours (Å) after each atom.
Element x y z (fractional)
Hg 0.7470 0.7470 0.4940  8 Pd 2.87-2.94, 4 Hg 3.01
Hg 0.2530 0.2530 0.5060  8 Pd 2.87-2.94, 4 Hg 3.01
Pd 0.5000 0.5000 0.0000  8 Pd 2.88, 4 Pb 3.00
Pd 0.8762 0.3762 0.7523  4 Hg 2.87-2.94, 2 Pb 2.88, 6 Pd 2.88-3.00
Pd 0.3762 0.8762 0.7523  4 Hg 2.87-2.94, 2 Pb 2.88, 6 Pd 2.88-3.00
Pd 0.1238 0.6238 0.2477  4 Hg 2.87-2.94, 2 Pb 2.88, 6 Pd 2.88-3.00
Pd 0.6238 0.1238 0.2477  4 Hg 2.87-2.94, 2 Pb 2.88, 6 Pd 2.88-3.00
Pb 0.0000 0.0000 0.0000  12 Pd 2.88-3.00


Record 5
Material: TmHfGa
Method: DFT, PBE
State: optimized geometry

Summary:
The value obtained for the formation enthalpy at 0 K is -0.14 eV per atom.

a b c (Å): 3.4306 4.8133 4.8133
angles (deg): 120.00 90.00 90.00
With the nearest neighbours (Å) after each atom.
Element x y z (fractional)
Tm 0.6629 0.6667 0.3333  6 Ga 3.24-3.29, 6 Hf 3.26-3.27, 2 Tm 3.43
Hf 0.1604 0.0000 0.0000  3 Ga 2.78
Ga 0.1767 0.3333 0.6667  3 Hf 2.78


Record 6
Material: Sr2Be2Ru
Method: DFT, PBE
State: optimized geometry

Summary:
The value obtained for the formation enthalpy at 0 K is 0.52 eV per atom.

a b c (Å): 6.5977 6.5977 4.9670
angles (deg): 90.00 90.00 90.00
With the nearest neighbours (Å) after each atom.
Element x y z (fractional)
Ru 0.0000 0.0000 0.0000  4 Be 2.44
Ru 0.5000 0.5000 0.0000  4 Be 2.44
Be 0.3279 0.8279 0.0000  2 Ru 2.44
Be 0.8279 0.6721 0.0000  2 Ru 2.44
Be 0.6721 0.1721 0.0000  2 Ru 2.44
Be 0.1721 0.3279 0.0000  2 Ru 2.44
Sr 0.1747 0.6747 0.5000  2 Be 2.87
Sr 0.6747 0.8253 0.5000  2 Be 2.87
Sr 0.8253 0.3253 0.5000  2 Be 2.87
Sr 0.3253 0.1747 0.5000  2 Be 2.87


Record 7
Material: PuMg2Sn2
Method: DFT, PBE
State: optimized geometry

Summary:
The value obtained for the formation enthalpy at 0 K is 0.12 eV per atom.

a b c (Å): 4.9852 4.9852 12.8520
angles (deg): 90.00 90.00 120.00
With the nearest neighbours (Å) after each atom.
Element x y z (fractional)
Pu 0.0000 0.0000 0.2500  5 Mg 2.88-3.21
Pu 0.0000 0.0000 0.7500  5 Mg 2.88-3.21
Mg 0.6667 0.3333 0.7500  3 Pu 2.88
Mg 0.0000 0.0000 0.0000  2 Pu 3.21, 6 Sn 3.30
Mg 0.0000 0.0000 0.5000  2 Pu 3.21, 6 Sn 3.30
Mg 0.3333 0.6667 0.2500  3 Pu 2.88
Sn 0.3333 0.6667 0.6263  1 Sn 3.18, 6 Mg 3.29-3.30, 3 Pu 3.29
Sn 0.6667 0.3333 0.1263  1 Sn 3.18, 6 Mg 3.29-3.30, 3 Pu 3.29
Sn 0.6667 0.3333 0.3737  1 Sn 3.18, 6 Mg 3.29-3.30, 3 Pu 3.29
Sn 0.3333 0.6667 0.8737  1 Sn 3.18, 6 Mg 3.29-3.30, 3 Pu 3.29


Record 8
Material: PrTm4Sc3
Method: DFT, PBE
State: optimized geometry

Summary:
The value obtained for the formation enthalpy at 0 K is 0.03 eV per atom.

a b c (Å): 6.0270 7.0093 10.8863
angles (deg): 90.00 90.00 90.00
With the nearest neighbours (Å) after each atom.
Element x y z (fractional)
Pr 0.1477 0.3808 0.0000  6 Sc 3.37-3.48, 6 Tm 3.43-3.58
Pr 0.6477 0.6192 0.5000  6 Sc 3.37-3.48, 6 Tm 3.43-3.58
Tm 0.1421 0.8707 0.0000  6 Tm 3.38-3.53, 4 Sc 3.39-3.51, 2 Pr 3.43-3.58
Tm 0.6458 0.1280 0.0000  6 Tm 3.37-3.53, 4 Sc 3.38-3.53, 2 Pr 3.49-3.51
Tm 0.9854 0.1294 0.2546  5 Sc 3.33-3.56, 6 Tm 3.37-3.52, 1 Pr 3.43
Tm 0.4854 0.8706 0.2454  5 Sc 3.33-3.56, 6 Tm 3.37-3.52, 1 Pr 3.43
Tm 0.1458 0.8720 0.5000  6 Tm 3.37-3.53, 4 Sc 3.38-3.53, 2 Pr 3.49-3.51
Tm 0.6421 0.1293 0.5000  6 Tm 3.38-3.53, 4 Sc 3.39-3.51, 2 Pr 3.43-3.58
Tm 0.4854 0.8706 0.7546  5 Sc 3.33-3.56, 6 Tm 3.37-3.52, 1 Pr 3.43
Tm 0.9854 0.1294 0.7454  5 Sc 3.33-3.56, 6 Tm 3.37-3.52, 1 Pr 3.43
Sc 0.6501 0.6248 0.0000  6 Tm 3.33-3.53, 4 Sc 3.37-3.38, 2 Pr 3.45-3.48
Sc 0.9794 0.6217 0.2513  2 Pr 3.37, 4 Sc 3.37-3.46, 6 Tm 3.38-3.56
Sc 0.4794 0.3783 0.2487  2 Pr 3.37, 4 Sc 3.37-3.46, 6 Tm 3.38-3.56
Sc 0.1501 0.3752 0.5000  6 Tm 3.33-3.53, 4 Sc 3.37-3.38, 2 Pr 3.45-3.48
Sc 0.4794 0.3783 0.7513  2 Pr 3.37, 4 Sc 3.37-3.46, 6 Tm 3.38-3.56
Sc 0.9794 0.6217 0.7487  2 Pr 3.37, 4 Sc 3.37-3.46, 6 Tm 3.38-3.56


Record 9
Material: K2Cu
Method: DFT, PBE
State: optimized geometry

Summary:
The value obtained for the formation enthalpy at 0 K is 0.35 eV per atom.

a b c (Å): 4.6321 4.6321 8.1075
angles (deg): 90.00 90.00 120.00
With the nearest neighbours (Å) after each atom.
Element x y z (fractional)
Cu 0.0000 0.0000 0.0000  6 K 3.33
K 0.6667 0.3333 0.7544  3 Cu 3.33
K 0.3333 0.6667 0.2456  3 Cu 3.33


Record 10
Material: LaRe2Sb
Method: DFT, PBE
State: optimized geometry

Summary:
The uncorrected formation energy comes out at 0.225 eV/atom.

a b c (Å): 4.2234 3.0879 6.8367
angles (deg): 80.04 90.00 90.00
With the nearest neighbours (Å) after each atom.
Element x y z (fractional)
La 0.5000 0.7671 0.7677  3 Re 2.98-3.19, 2 La 3.09
Re 0.0000 0.9971 0.0851  2 Re 2.53
Re 0.5000 0.3417 0.1929  2 Re 2.53, 2 Sb 2.79
Sb 0.0000 0.3941 0.4543  4 Re 2.79-2.99, 2 Sb 3.09


Record 11
Material: TbCeNd2Tm
Method: DFT, PBE
State: optimized geometry

Summary:
The value obtained for the formation enthalpy at 0 K is 0.28 eV per atom.

a b c (Å): 8.1589 6.7150 6.1116
angles (deg): 90.08 90.00 90.00
With the nearest neighbours (Å) after each atom.
Element x y z (fractional)
Tb 0.6459 0.0000 0.2500  6 Nd 3.27-3.55, 2 Ce 3.27
Tb 0.3541 0.0000 0.7500  6 Nd 3.27-3.55, 2 Ce 3.27
Ce 0.0000 0.0000 0.0000  2 Ce 3.06, 2 Tb 3.27
Ce 0.0000 0.0000 0.5000  2 Ce 3.06, 2 Tb 3.27
Nd 0.6900 0.7351 0.7495  1 Nd 3.16, 1 Tb 3.27, 2 Ce 3.45
Nd 0.6900 0.2649 0.7505  1 Nd 3.16, 1 Tb 3.27, 2 Ce 3.45
Nd 0.3100 0.7351 0.2495  1 Nd 3.16, 1 Tb 3.27, 2 Ce 3.45
Nd 0.3100 0.2649 0.2505  1 Nd 3.16, 1 Tb 3.27, 2 Ce 3.45
Tm 0.1230 0.5000 0.7500  2 Tm 3.66, 6 Nd 3.76-3.87, 4 Ce 3.82, 2 Tb 3.85
Tm 0.8770 0.5000 0.2500  2 Tm 3.66, 6 Nd 3.76-3.87, 4 Ce 3.82, 2 Tb 3.85


In order of appearance, total moment = 0.000; 0.000; 0.001; 0.000; 0.000; 0.000; 1.170; 0.000; 0.000; 0.000; 0.092 μB/atom.
In order of appearance, total DFT energy (no corrections) = -3.20; -2.55; -5.98; -3.98; -5.95; -3.50; -4.99; -5.18; -1.74; -8.26; -4.63 eV/atom.